Below is an optimized crystal structure of TlCoMoOs2, with properties calculated at the GGA-PBE level.

Computed properties:
ΔH_f (0 K) (eV per atom): 3.462
E (eV/cell): -25.45
Space-group type: P4/mmm
Fermi-level density of states (states/eV per atom): 2.110

Cell lengths 4.886, 4.886, 4.973 Å; angles 90.00, 90.00, 90.00 degrees
Sites, in units of the cell vectors:
Tl 0.000 0.000 0.000
Co 0.500 0.500 0.500
Mo 0.000 0.000 0.500
Os 0.000 0.500 0.000
Os 0.500 0.000 0.000